VASP calculation (PBE-GGA) on an optimized crystal structure of Gd3Ho5H12.

Cell: 11.3191 11.3191 11.3191 Å, 109.47 109.47 109.47°
Last column: magnetic moment on the atom in μB.
Sites, in units of the cell vectors:
1 H 0.4287 0.1506 0.5878  -0.01
2 H 0.9372 0.3494 0.2781  -0.01
3 H 0.0878 0.9287 0.1506  -0.01
4 H 0.8494 0.2781 0.4372  -0.01
5 H 0.6506 0.5878 0.9287  -0.01
6 H 0.3494 0.4122 0.0713  -0.01
7 H 0.5713 0.8494 0.4122  -0.01
8 H 0.6591 0.4372 0.5878  -0.01
9 H 0.7781 0.3409 0.9287  -0.01
10 H 0.3409 0.7781 0.4287  -0.01
11 H 0.0878 0.1591 0.4372  -0.01
12 H 0.9122 0.8409 0.5628  -0.01
13 H 0.0628 0.4122 0.8409  -0.01
14 H 0.4372 0.7781 0.8494  -0.01
15 H 0.1591 0.0878 0.9372  -0.01
16 H 0.6591 0.2219 0.5713  -0.01
17 H 0.8409 0.9122 0.0628  -0.01
18 H 0.0713 0.1591 0.2219  -0.01
19 H 0.0713 0.9122 0.3494  -0.01
20 H 0.1506 0.7219 0.5628  -0.01
21 H 0.3409 0.5628 0.4122  -0.01
22 H 0.9287 0.8409 0.7781  -0.01
23 H 0.5878 0.9372 0.6591  -0.01
24 H 0.2219 0.6591 0.0713  -0.01
25 H 0.6506 0.0628 0.2219  -0.01
26 H 0.4122 0.0628 0.3409  -0.01
27 H 0.4122 0.3494 0.5713  -0.01
28 H 0.9122 0.0713 0.8494  -0.01
29 H 0.5878 0.6506 0.4287  -0.01
30 H 0.5628 0.2219 0.1506  -0.01
31 H 0.8494 0.5713 0.9122  -0.01
32 H 0.1506 0.4287 0.0878  -0.01
33 H 0.9372 0.5878 0.1591  -0.01
34 H 0.9287 0.0878 0.6506  -0.01
35 H 0.2781 0.8494 0.9372  -0.01
36 H 0.4372 0.6591 0.0878  -0.01
37 H 0.5628 0.3409 0.9122  -0.01
38 H 0.2781 0.4287 0.8409  -0.01
39 H 0.3494 0.9372 0.7781  -0.01
40 H 0.8409 0.9287 0.2781  -0.01
41 H 0.2219 0.5628 0.6506  -0.01
42 H 0.4287 0.2781 0.3409  -0.01
43 H 0.7781 0.4372 0.3494  -0.01
44 H 0.7219 0.1506 0.0628  -0.01
45 H 0.7219 0.5713 0.1591  -0.01
46 H 0.5713 0.7219 0.6591  -0.01
47 H 0.1591 0.0713 0.7219  -0.01
48 H 0.0628 0.6506 0.7219  -0.01
49 Ho 0.5000 0.5000 0.0000  0.09
50 Ho 0.1250 0.7500 0.3750  0.20
51 Ho 0.7500 0.1250 0.8750  0.20
52 Ho 0.6250 0.7500 0.8750  0.20
53 Ho 0.0000 0.0000 0.5000  0.09
54 Ho 0.8750 0.2500 0.6250  0.20
55 Ho 0.3750 0.1250 0.7500  0.20
56 Ho 0.3750 0.2500 0.1250  0.20
57 Ho 0.0000 0.0000 0.0000  0.09
58 Ho 0.5000 0.0000 0.0000  0.09
59 Ho 0.8750 0.6250 0.7500  0.20
60 Ho 0.2500 0.8750 0.1250  0.20
61 Ho 0.0000 0.5000 0.5000  0.09
62 Ho 0.5000 0.0000 0.5000  0.09
63 Ho 0.1250 0.3750 0.2500  0.20
64 Ho 0.2500 0.3750 0.6250  0.20
65 Ho 0.0000 0.5000 0.0000  0.09
66 Ho 0.7500 0.6250 0.3750  0.20
67 Ho 0.6250 0.8750 0.2500  0.20
68 Ho 0.5000 0.5000 0.5000  0.09
69 Gd 0.7500 0.8750 0.6250  7.11
70 Gd 0.1250 0.8750 0.7500  7.11
71 Gd 0.8750 0.7500 0.1250  7.11
72 Gd 0.8750 0.1250 0.2500  7.11
73 Gd 0.7500 0.3750 0.1250  7.11
74 Gd 0.2500 0.6250 0.8750  7.11
75 Gd 0.6250 0.3750 0.7500  7.11
76 Gd 0.6250 0.2500 0.3750  7.11
77 Gd 0.2500 0.1250 0.3750  7.11
78 Gd 0.1250 0.2500 0.8750  7.11
79 Gd 0.3750 0.6250 0.2500  7.11
80 Gd 0.3750 0.7500 0.6250  7.11

Magnetic moment in μB/f.u.: 23.04
Energy in eV per atom: -5.7403